Density functional theory data (PBE-GGA) for ScBeAu2 after structural relaxation.

Structure (POSCAR):
```
ScBeAu2
1.0
3.0857 0.0000 0.0000
0.0000 3.0857 0.0000
0.0000 0.0000 6.8270
Sc Be Au
1 1 2
Direct
0.0000 0.0000 0.0000
0.0000 0.0000 0.5000
0.5000 0.5000 0.2904
0.5000 0.5000 0.7096
```

Fermi-level density of states: 0.5347 states/eV/atom
Energy above the lowest structure with this stoichiometry: 2.3 meV per atom
Space group: P4/mmm, No. 123
Total magnetization: 0.00 μB/cell